No. 1
An optimized crystal structure of PPtAu2. Source: Alexandria, functional GGA-PBE.

CIF file:
```
data_PPtAu2
_chemical_formula_sum 'P1 Pt1 Au2'
_symmetry_space_group_name_H-M 'P 1'
_symmetry_Int_Tables_number 1
_symmetry_space_group_name_Hall 'P 1'
_cell_length_a 5.509
_cell_length_b 5.509
_cell_length_c 5.509
_cell_angle_alpha 144.94
_cell_angle_beta 133.43
_cell_angle_gamma 59.60
loop_
_atom_site_label
_atom_site_type_symbol
_atom_site_fract_x
_atom_site_fract_y
_atom_site_fract_z
_atom_site_occupancy
P1 P 0.534 0.534 0.000 1
Pt1 Pt 0.705 0.205 0.500 1
Au1 Au 0.283 0.783 0.500 1
Au2 Au 0.979 0.979 0.000 1
```

Calculated density (g/cm³): 14.9
Size of the total moment (μB per formula unit): 0.0
Total energy (eV per atom): -4.42
ΔH_f (0 K) (meV/atom): 83

***

No. 2
An optimized crystal structure of P3PtAu. Source: Alexandria, functional GGA-PBE.

CIF file:
```
data_P3PtAu
_chemical_formula_sum 'P3 Pt1 Au1'
_symmetry_space_group_name_H-M 'P 1'
_symmetry_Int_Tables_number 1
_symmetry_space_group_name_Hall 'P 1'
_cell_length_a 4.701
_cell_length_b 4.701
_cell_length_c 4.701
_cell_angle_alpha 90.00
_cell_angle_beta 90.00
_cell_angle_gamma 90.00
loop_
_atom_site_label
_atom_site_type_symbol
_atom_site_fract_x
_atom_site_fract_y
_atom_site_fract_z
_atom_site_occupancy
Pt1 Pt 0.000 0.000 0.000 1
Au1 Au 0.500 0.500 0.500 1
P1 P 0.000 0.500 0.000 1
P2 P 0.000 0.000 0.500 1
P3 P 0.500 0.000 0.000 1
```

Calculated density (g/cm³): 7.8
Size of the total moment (μB per formula unit): 0.0
Excess energy over the best structure of this formula in the dataset (meV per atom): 0
Total energy (eV per atom): -4.19
ΔH_f (0 K) (meV/atom): 918

***

No. 3
An optimized crystal structure of PPt2Au. Source: Alexandria, functional GGA-PBE.

CIF file:
```
data_PPt2Au
_chemical_formula_sum 'P1 Pt2 Au1'
_symmetry_space_group_name_H-M 'P 1'
_symmetry_Int_Tables_number 1
_symmetry_space_group_name_Hall 'P 1'
_cell_length_a 4.497
_cell_length_b 4.497
_cell_length_c 4.497
_cell_angle_alpha 60.00
_cell_angle_beta 60.00
_cell_angle_gamma 60.00
loop_
_atom_site_label
_atom_site_type_symbol
_atom_site_fract_x
_atom_site_fract_y
_atom_site_fract_z
_atom_site_occupancy
Pt1 Pt 0.750 0.750 0.750 1
Pt2 Pt 0.000 0.000 0.000 1
P1 P 0.250 0.250 0.250 1
Au1 Au 0.500 0.500 0.500 1
```

Calculated density (g/cm³): 16.0
Size of the total moment (μB per formula unit): 0.0
Total energy (eV per atom): -4.97
ΔH_f (0 K) (meV/atom): 219

***

No. 4
An optimized crystal structure of PPt2Au. Source: Alexandria, functional GGA-PBE.

CIF file:
```
data_PPt2Au
_chemical_formula_sum 'P1 Pt2 Au1'
_symmetry_space_group_name_H-M 'P 1'
_symmetry_Int_Tables_number 1
_symmetry_space_group_name_Hall 'P 1'
_cell_length_a 6.533
_cell_length_b 6.533
_cell_length_c 6.533
_cell_angle_alpha 31.58
_cell_angle_beta 31.58
_cell_angle_gamma 31.58
loop_
_atom_site_label
_atom_site_type_symbol
_atom_site_fract_x
_atom_site_fract_y
_atom_site_fract_z
_atom_site_occupancy
Pt1 Pt 0.766 0.766 0.766 1
Au1 Au 0.000 0.000 0.000 1
Pt2 Pt 0.234 0.234 0.234 1
P1 P 0.500 0.500 0.500 1
```

Calculated density (g/cm³): 15.1
Size of the total moment (μB per formula unit): 0.0
Total energy (eV per atom): -5.38
ΔH_f (0 K) (meV/atom): -187

***

No. 5
An optimized crystal structure of PPt2Au. Source: Alexandria, functional GGA-PBE.

CIF file:
```
data_PPt2Au
_chemical_formula_sum 'P2 Pt4 Au2'
_symmetry_space_group_name_H-M 'P 1'
_symmetry_Int_Tables_number 1
_symmetry_space_group_name_Hall 'P 1'
_cell_length_a 7.021
_cell_length_b 7.021
_cell_length_c 5.653
_cell_angle_alpha 51.61
_cell_angle_beta 51.61
_cell_angle_gamma 90.00
loop_
_atom_site_label
_atom_site_type_symbol
_atom_site_fract_x
_atom_site_fract_y
_atom_site_fract_z
_atom_site_occupancy
Pt1 Pt 0.566 0.125 0.250 1
P1 P 0.500 0.500 0.000 1
Pt2 Pt 0.184 0.625 0.250 1
Pt3 Pt 0.375 0.434 0.750 1
Au1 Au 0.750 0.250 0.500 1
Au2 Au 0.000 0.000 0.000 1
Pt4 Pt 0.875 0.816 0.750 1
P2 P 0.250 0.750 0.500 1
```

Calculated density (g/cm³): 15.4
Size of the total moment (μB per formula unit): 0.0
Total energy (eV per atom): -5.34
ΔH_f (0 K) (meV/atom): -145

***

No. 6
An optimized crystal structure of PPt4Au. Source: Alexandria, functional GGA-PBE.

CIF file:
```
data_PPt4Au
_chemical_formula_sum 'P1 Pt4 Au1'
_symmetry_space_group_name_H-M 'P 1'
_symmetry_Int_Tables_number 1
_symmetry_space_group_name_Hall 'P 1'
_cell_length_a 5.282
_cell_length_b 5.282
_cell_length_c 5.282
_cell_angle_alpha 60.00
_cell_angle_beta 60.00
_cell_angle_gamma 60.00
loop_
_atom_site_label
_atom_site_type_symbol
_atom_site_fract_x
_atom_site_fract_y
_atom_site_fract_z
_atom_site_occupancy
Pt1 Pt 0.375 0.875 0.375 1
P1 P 0.000 0.000 0.000 1
Pt2 Pt 0.375 0.375 0.875 1
Au1 Au 0.750 0.750 0.750 1
Pt3 Pt 0.875 0.375 0.375 1
Pt4 Pt 0.375 0.375 0.375 1
```

Calculated density (g/cm³): 16.1
Size of the total moment (μB per formula unit): 0.0
Excess energy over the best structure of this formula in the dataset (meV per atom): 568
Total energy (eV per atom): -5.06
ΔH_f (0 K) (meV/atom): 415

***

No. 7
An optimized crystal structure of PPt2Au. Source: Alexandria, functional GGA-PBE.

CIF file:
```
data_PPt2Au
_chemical_formula_sum 'P1 Pt2 Au1'
_symmetry_space_group_name_H-M 'P 1'
_symmetry_Int_Tables_number 1
_symmetry_space_group_name_Hall 'P 1'
_cell_length_a 4.767
_cell_length_b 4.767
_cell_length_c 2.914
_cell_angle_alpha 90.00
_cell_angle_beta 90.00
_cell_angle_gamma 104.44
loop_
_atom_site_label
_atom_site_type_symbol
_atom_site_fract_x
_atom_site_fract_y
_atom_site_fract_z
_atom_site_occupancy
Pt1 Pt 0.000 0.500 0.000 1
Pt2 Pt 0.500 0.000 0.000 1
Au1 Au 0.500 0.500 0.500 1
P1 P 0.000 0.000 0.500 1
```

Calculated density (g/cm³): 16.0
Size of the total moment (μB per formula unit): 0.0
Total energy (eV per atom): -5.01
ΔH_f (0 K) (meV/atom): 185

***

No. 8
An optimized crystal structure of PPtAu2. Source: Alexandria, functional GGA-PBE.

CIF file:
```
data_PPtAu2
_chemical_formula_sum 'P1 Pt1 Au2'
_symmetry_space_group_name_H-M 'P 1'
_symmetry_Int_Tables_number 1
_symmetry_space_group_name_Hall 'P 1'
_cell_length_a 5.514
_cell_length_b 5.514
_cell_length_c 3.822
_cell_angle_alpha 70.33
_cell_angle_beta 70.33
_cell_angle_gamma 122.37
loop_
_atom_site_label
_atom_site_type_symbol
_atom_site_fract_x
_atom_site_fract_y
_atom_site_fract_z
_atom_site_occupancy
Au1 Au 0.000 0.500 0.000 1
P1 P 0.000 0.000 0.500 1
Au2 Au 0.500 0.000 0.000 1
Pt1 Pt 0.500 0.500 0.500 1
```

Calculated density (g/cm³): 14.7
Size of the total moment (μB per formula unit): 0.0
Total energy (eV per atom): -4.30
ΔH_f (0 K) (meV/atom): 203

***

No. 9
An optimized crystal structure of PPtAu2. Source: Alexandria, functional GGA-PBE.

CIF file:
```
data_PPtAu2
_chemical_formula_sum 'P1 Pt1 Au2'
_symmetry_space_group_name_H-M 'P 1'
_symmetry_Int_Tables_number 1
_symmetry_space_group_name_Hall 'P 1'
_cell_length_a 8.581
_cell_length_b 8.581
_cell_length_c 8.581
_cell_angle_alpha 20.44
_cell_angle_beta 20.44
_cell_angle_gamma 20.44
loop_
_atom_site_label
_atom_site_type_symbol
_atom_site_fract_x
_atom_site_fract_y
_atom_site_fract_z
_atom_site_occupancy
P1 P 0.500 0.500 0.500 1
Au1 Au 0.244 0.244 0.244 1
Pt1 Pt 0.000 0.000 0.000 1
Au2 Au 0.756 0.756 0.756 1
```

Calculated density (g/cm³): 15.3
Size of the total moment (μB per formula unit): 0.0
Total energy (eV per atom): -4.27
ΔH_f (0 K) (meV/atom): 233

***

No. 10
An optimized crystal structure of PPtAu4. Source: Alexandria, functional GGA-PBE.

CIF file:
```
data_PPtAu4
_chemical_formula_sum 'P1 Pt1 Au4'
_symmetry_space_group_name_H-M 'P 1'
_symmetry_Int_Tables_number 1
_symmetry_space_group_name_Hall 'P 1'
_cell_length_a 5.431
_cell_length_b 5.431
_cell_length_c 5.431
_cell_angle_alpha 60.00
_cell_angle_beta 60.00
_cell_angle_gamma 60.00
loop_
_atom_site_label
_atom_site_type_symbol
_atom_site_fract_x
_atom_site_fract_y
_atom_site_fract_z
_atom_site_occupancy
P1 P 0.250 0.250 0.250 1
Au1 Au 0.625 0.625 0.125 1
Au2 Au 0.125 0.625 0.625 1
Au3 Au 0.625 0.625 0.625 1
Au4 Au 0.625 0.125 0.625 1
Pt1 Pt 0.000 0.000 0.000 1
```

Calculated density (g/cm³): 14.9
Size of the total moment (μB per formula unit): 0.0
Total energy (eV per atom): -3.52
ΔH_f (0 K) (meV/atom): 571

***

No. 11
An optimized crystal structure of PPt2Au. Source: Alexandria, functional GGA-PBE.

CIF file:
```
data_PPt2Au
_chemical_formula_sum 'P1 Pt2 Au1'
_symmetry_space_group_name_H-M 'P 1'
_symmetry_Int_Tables_number 1
_symmetry_space_group_name_Hall 'P 1'
_cell_length_a 4.014
_cell_length_b 4.014
_cell_length_c 4.001
_cell_angle_alpha 90.00
_cell_angle_beta 90.00
_cell_angle_gamma 90.00
loop_
_atom_site_label
_atom_site_type_symbol
_atom_site_fract_x
_atom_site_fract_y
_atom_site_fract_z
_atom_site_occupancy
Pt1 Pt 0.000 0.500 0.000 1
Au1 Au 0.500 0.500 0.500 1
Pt2 Pt 0.500 0.000 0.000 1
P1 P 0.000 0.000 0.500 1
```

Calculated density (g/cm³): 15.9
Size of the total moment (μB per formula unit): 0.0
Total energy (eV per atom): -4.94
ΔH_f (0 K) (meV/atom): 252

***

No. 12
An optimized crystal structure of PPt2Au. Source: Alexandria, functional GGA-PBE.

CIF file:
```
data_PPt2Au
_chemical_formula_sum 'P1 Pt2 Au1'
_symmetry_space_group_name_H-M 'P 1'
_symmetry_Int_Tables_number 1
_symmetry_space_group_name_Hall 'P 1'
_cell_length_a 2.811
_cell_length_b 4.749
_cell_length_c 4.857
_cell_angle_alpha 90.00
_cell_angle_beta 90.00
_cell_angle_gamma 90.00
loop_
_atom_site_label
_atom_site_type_symbol
_atom_site_fract_x
_atom_site_fract_y
_atom_site_fract_z
_atom_site_occupancy
Pt1 Pt 0.000 0.000 0.000 1
Au1 Au 0.500 0.500 0.000 1
Pt2 Pt 0.500 0.000 0.500 1
P1 P 0.000 0.500 0.500 1
```

Calculated density (g/cm³): 15.8
Size of the total moment (μB per formula unit): 0.0
Total energy (eV per atom): -4.98
ΔH_f (0 K) (meV/atom): 214